1.
Tb2PrPb | PBE | optimized geometry

Results
For the total energy, the calculation gives -18.578 eV/f.u. The value obtained for the calculated formation energy is -0.83 eV per formula unit. Its excess energy over the best structure of this formula in the dataset is 99 meV per atom. As for the space group: P4/mmm (123).

Cell: 3.6430 3.6430 9.5087 Å, 90.00 90.00 90.00°
Element x y z (fractional)
1 Pb 0.5000 0.5000 0.0000
2 Tb 0.0000 0.0000 0.2286
3 Tb 0.0000 0.0000 0.7714
4 Pr 0.5000 0.5000 0.5000

2.
Tb3Pr2Pb4 | PBE | optimized geometry

Results
For the total energy, the calculation gives -42.440 eV/f.u. The value obtained for the calculated formation energy is -4.16 eV per formula unit. Its excess energy over the best structure of this formula in the dataset is 138 meV per atom. As for the space group: Cmce (64).

Cell: 7.1969 9.0976 9.4481 Å, 90.00 112.39 90.00°
Element x y z (fractional)
1 Pr 0.3888 0.0890 0.7775
2 Pr 0.8888 0.4110 0.7775
3 Pr 0.6112 0.9110 0.2225
4 Pr 0.1112 0.5890 0.2225
5 Pb 0.1857 0.9447 0.3714
6 Pb 0.6857 0.5553 0.3714
7 Pb 0.3143 0.4447 0.6286
8 Pb 0.8143 0.0553 0.6286
9 Pb 0.2811 0.2500 0.0622
10 Pb 0.2189 0.7500 0.9378
11 Pb 0.7811 0.2500 0.0622
12 Pb 0.7189 0.7500 0.9378
13 Tb 0.9565 0.2500 0.4131
14 Tb 0.5000 0.5000 0.0000
15 Tb 0.5435 0.7500 0.5869
16 Tb 0.4565 0.2500 0.4131
17 Tb 0.0000 0.0000 0.0000
18 Tb 0.0435 0.7500 0.5869

3.
Tb12Pr7Pb | PBE | optimized geometry

Results
For the total energy, the calculation gives -89.593 eV/f.u. The value obtained for the calculated formation energy is 3.13 eV per formula unit. As for the space group: R-3 (148).

Cell: 8.8371 8.8371 8.8371 Å, 89.07 89.07 89.07°
Element x y z (fractional)
1 Tb 0.4622 0.1221 0.3421
2 Tb 0.8861 0.0055 0.3370
3 Tb 0.0055 0.3370 0.8861
4 Tb 0.1139 0.9945 0.6630
5 Tb 0.3370 0.8861 0.0055
6 Tb 0.1221 0.3421 0.4622
7 Tb 0.6630 0.1139 0.9945
8 Tb 0.8779 0.6579 0.5378
9 Tb 0.9945 0.6630 0.1139
10 Tb 0.6579 0.5378 0.8779
11 Tb 0.5378 0.8779 0.6579
12 Tb 0.3421 0.4622 0.1221
13 Pr 0.6228 0.7688 0.2137
14 Pr 0.3772 0.2312 0.7863
15 Pr 0.7688 0.2137 0.6228
16 Pr 0.5000 0.5000 0.5000
17 Pr 0.2312 0.7863 0.3772
18 Pr 0.7863 0.3772 0.2312
19 Pr 0.2137 0.6228 0.7688
20 Pb 0.0000 0.0000 0.0000

4.
Tb2Pr8Pb | PBE | optimized geometry

Results
For the total energy, the calculation gives -51.387 eV/f.u. The value obtained for the calculated formation energy is -0.18 eV per formula unit. Its excess energy over the best structure of this formula in the dataset is 65 meV per atom. As for the space group: Immm (71).

Cell: 5.6609 7.7816 10.1035 Å, 112.65 106.27 90.00°
Element x y z (fractional)
1 Pr 0.0000 0.7370 0.0000
2 Pr 0.3617 0.5862 0.7233
3 Pr 0.0000 0.2630 0.0000
4 Pr 0.6384 0.4138 0.2767
5 Pr 0.8228 0.8228 0.6455
6 Pr 0.6384 0.8629 0.2767
7 Pr 0.1772 0.1772 0.3545
8 Pr 0.3616 0.1371 0.7233
9 Tb 0.1929 0.6928 0.3857
10 Tb 0.8071 0.3072 0.6143
11 Pb 0.5000 0.0000 0.0000

5.
TbPr2Pb2 | PBE | optimized geometry

Results
For the total energy, the calculation gives -23.848 eV/f.u. The value obtained for the calculated formation energy is -2.24 eV per formula unit. Its excess energy over the best structure of this formula in the dataset is 79 meV per atom. As for the space group: C2/m (12).

Cell: 4.9080 6.9519 10.6338 Å, 78.06 76.66 69.33°
Element x y z (fractional)
1 Pb 0.8660 0.6917 0.5764
2 Pb 0.0392 0.8087 0.1129
3 Pb 0.1340 0.3083 0.4236
4 Pb 0.9608 0.1913 0.8871
5 Tb 0.2120 0.9257 0.6502
6 Tb 0.7880 0.0743 0.3498
7 Pr 0.3193 0.2723 0.0891
8 Pr 0.6807 0.7277 0.9109
9 Pr 0.4901 0.3424 0.6774
10 Pr 0.5099 0.6576 0.3226

6.
TbPr2Pb3 | PBE | optimized geometry

Results
For the total energy, the calculation gives -28.181 eV/f.u. The value obtained for the calculated formation energy is -2.87 eV per formula unit. Its excess energy over the best structure of this formula in the dataset is 24 meV per atom. As for the space group: C2/c (15).

Cell: 5.9337 8.7988 8.7988 Å, 113.58 104.00 104.00°
Element x y z (fractional)
1 Pr 0.2500 0.9178 0.0822
2 Pr 0.7500 0.0822 0.9178
3 Pr 0.7500 0.7526 0.2474
4 Pr 0.2500 0.2474 0.7526
5 Pb 0.4934 0.3381 0.1763
6 Pb 0.5066 0.6619 0.8237
7 Pb 0.0000 0.5000 0.0000
8 Pb 0.9934 0.1763 0.3381
9 Pb 0.0066 0.8237 0.6619
10 Pb 0.5000 0.0000 0.5000
11 Tb 0.7500 0.4154 0.5846
12 Tb 0.2500 0.5846 0.4154

7.
TbPrPb2 | PBE | optimized geometry

Results
For the total energy, the calculation gives -18.755 eV/f.u. The value obtained for the calculated formation energy is -1.93 eV per formula unit. As for the space group: P4/mmm (123).

Cell: 4.5695 5.0859 5.0859 Å, 90.00 90.00 90.00°
Element x y z (fractional)
1 Pb 0.0000 0.5000 0.0000
2 Pb 0.0000 0.0000 0.5000
3 Pr 0.5000 0.0000 0.0000
4 Tb 0.5000 0.5000 0.5000

8.
TbPrPb6 | PBE | optimized geometry

Results
For the total energy, the calculation gives -34.389 eV/f.u. The value obtained for the calculated formation energy is -2.73 eV per formula unit. As for the space group: P4/mmm (123).

Cell: 4.9146 4.9146 9.8338 Å, 90.00 90.00 90.00°
Element x y z (fractional)
1 Pb 0.5000 0.5000 0.5000
2 Pb 0.5000 0.5000 0.0000
3 Pb 0.0000 0.5000 0.7455
4 Pb 0.5000 0.0000 0.7455
5 Pb 0.5000 0.0000 0.2545
6 Pb 0.0000 0.5000 0.2545
7 Pr 0.0000 0.0000 0.0000
8 Tb 0.0000 0.0000 0.5000